(1)
! Sm12Er5Tm2 | Alexandria | PBE | relaxed; values from VASP
! **Energy above the lowest structure with this stoichiometry**: 0 meV/atom
! **Energy relative to the elements**: 0.10 eV/atom
! **SG**: C2/m (12)
&SYSTEM
  ibrav = 0, nat = 19, ntyp = 3
/
ATOMIC_SPECIES
Sm 150.36 Sm.upf
Er 167.26 Er.upf
Tm 168.93 Tm.upf
ATOMIC_POSITIONS crystal
Sm 0.047 0.560 0.801
Sm 0.056 0.056 0.274
Sm 0.148 0.645 0.383
Sm 0.355 0.852 0.617
Sm 0.381 0.381 0.996
Sm 0.440 0.953 0.199
Sm 0.560 0.047 0.801
Sm 0.619 0.619 0.004
Sm 0.645 0.148 0.383
Sm 0.852 0.355 0.617
Sm 0.944 0.944 0.726
Sm 0.953 0.440 0.199
Er 0.178 0.178 0.861
Er 0.284 0.284 0.444
Er 0.500 0.500 0.500
Er 0.716 0.716 0.556
Er 0.822 0.822 0.139
Tm 0.268 0.732 0.000
Tm 0.732 0.268 0.000
CELL_PARAMETERS angstrom
8.873 -5.813 0.000
8.873 5.813 0.000
-1.348 0.000 6.026

=====

(2)
! LaGd2Mg | Alexandria | PBE | relaxed; values from VASP
! **Energy above the lowest structure with this stoichiometry**: 0 meV/atom
! **Energy relative to the elements**: -0.03 eV/atom
! **SG**: P4/mmm (123)
&SYSTEM
  ibrav = 0, nat = 4, ntyp = 3
/
ATOMIC_SPECIES
La 138.91 La.upf
Gd 157.25 Gd.upf
Mg 24.30 Mg.upf
ATOMIC_POSITIONS crystal
La 0.000 0.000 0.000
Gd 0.500 0.500 0.275
Gd 0.500 0.500 0.725
Mg 0.000 0.000 0.500
CELL_PARAMETERS angstrom
3.681 0.000 0.000
0.000 3.681 0.000
0.000 0.000 9.301

=====

(3)
! BaMn2N2 | Alexandria | PBE | relaxed; values from VASP
! **Uncorrected formation energy**: -0.255 eV/atom
! **Energy above the lowest structure with this stoichiometry**: 125 meV/atom
! **SG**: I4/mmm (139)
&SYSTEM
  ibrav = 0, nat = 5, ntyp = 3
/
ATOMIC_SPECIES
Ba 137.33 Ba.upf
Mn 54.94 Mn.upf
N 14.01 N.upf
ATOMIC_POSITIONS crystal
Ba 0.000 0.000 0.000
Mn 0.282 0.282 0.000
Mn 0.718 0.718 0.000
N 0.250 0.750 0.500
N 0.750 0.250 0.500
CELL_PARAMETERS angstrom
-1.940 1.940 5.564
1.940 -1.940 5.564
1.940 1.940 -5.564

=====

(4)
! Li2Er3Cd7 | Alexandria | PBE | relaxed; values from VASP
! **Energy above the lowest structure with this stoichiometry**: 0 meV/atom
! **Energy relative to the elements**: -0.15 eV/atom
! **SG**: P2/m (10)
&SYSTEM
  ibrav = 0, nat = 12, ntyp = 3
/
ATOMIC_SPECIES
Li 6.94 Li.upf
Er 167.26 Er.upf
Cd 112.41 Cd.upf
ATOMIC_POSITIONS crystal
Li 0.140 0.000 0.279
Li 0.860 0.000 0.721
Er 0.000 0.000 0.000
Er 0.316 0.500 0.634
Er 0.684 0.500 0.366
Cd 0.084 0.500 0.161
Cd 0.226 0.000 0.451
Cd 0.409 0.000 0.823
Cd 0.500 0.500 0.000
Cd 0.591 0.000 0.177
Cd 0.774 0.000 0.549
Cd 0.916 0.500 0.839
CELL_PARAMETERS angstrom
4.839 0.000 0.000
0.000 3.821 0.000
-2.336 0.000 15.136

=====

Please write out number 3 again, unchanged.
! BaMn2N2 | Alexandria | PBE | relaxed; values from VASP
! **Uncorrected formation energy**: -0.255 eV/atom
! **Energy above the lowest structure with this stoichiometry**: 125 meV/atom
! **SG**: I4/mmm (139)
&SYSTEM
  ibrav = 0, nat = 5, ntyp = 3
/
ATOMIC_SPECIES
Ba 137.33 Ba.upf
Mn 54.94 Mn.upf
N 14.01 N.upf
ATOMIC_POSITIONS crystal
Ba 0.000 0.000 0.000
Mn 0.282 0.282 0.000
Mn 0.718 0.718 0.000
N 0.250 0.750 0.500
N 0.750 0.250 0.500
CELL_PARAMETERS angstrom
-1.940 1.940 5.564
1.940 -1.940 5.564
1.940 1.940 -5.564

=====

Question: Look up the energy above the lowest structure with this stoichiometry of the first one.
Answer: 0 meV/atom

=====

Question: Which of these has the highest energy above the lowest structure with this stoichiometry?
Answer: BaMn2N2

=====

Question: Look up the energy above the lowest structure with this stoichiometry of the fourth one.
Answer: 0 meV/atom